Density functional theory data (GGA+U) for a geometry-optimized RbHoMnO3 structure.

It has space group Cmcm (No. 63), with a = 3.569 Å, b = 13.851 Å, c = 9.179 Å, α = 90.00°, β = 90.00° and γ = 90.00°. The asymmetric unit holds Rb at (0.000, 0.192, 0.250), Ho at (0.000, 0.500, 0.000), Mn at (0.000, 0.077, 0.750), O at (0.000, 0.102, 0.538) and O at (0.000, 0.483, 0.750).

The value obtained for the uncorrected energy is -6.906 eV per atom.